VASP calculation (PBE+U) on a relaxed LiMnF3 crystal.

```
data_LiMnF3
_chemical_formula_sum 'Li4 Mn4 F12'
_cell_length_a 3.0192
_cell_length_b 9.7144
_cell_length_c 7.1317
_cell_angle_alpha 90.00
_cell_angle_beta 90.00
_cell_angle_gamma 90.00
_space_group_name_H-M_alt 'C m c m'
_space_group_IT_number 63
_space_group_name_Hall '-C 2c 2'
loop_
_atom_site_label
_atom_site_type_symbol
_atom_site_fract_x
_atom_site_fract_y
_atom_site_fract_z
Li1 Li 0.0000 0.0000 0.0000
Mn1 Mn 0.0000 0.2527 0.2500
F1 F 0.0000 0.0903 0.7500
F2 F 0.0000 0.3570 0.5682
```

The value obtained for the magnetic moment is 5.0 μB/f.u. The calculation puts the energy above the most stable polymorph in this dataset at 0.21 eV/f.u. Its total energy is -114.61 eV/cell.